Record 1
Density functional theory data (PBE) for BaLiZr after structural relaxation.

Cell: 7.3004 7.3004 7.3004 Å, 90.00 90.00 90.00°
With the nearest neighbours (Å) after each atom.
Space group F-43m (No. 216)
Asymmetric unit:
Ba: 0.0000 0.0000 0.0000 [4 per cell]  4 Zr 3.16, 4 Li 3.16
Li: 0.2500 0.2500 0.2500 [4 per cell]  4 Ba 3.16
Zr: 0.2500 0.2500 0.7500 [4 per cell]  4 Ba 3.16

E_form   1281 meV/atom

---

Record 2
Density functional theory data (PBE) for BaLiZr2 after structural relaxation.

Cell: 5.4765 5.4765 3.4519 Å, 90.00 90.00 90.00°
With the nearest neighbours (Å) after each atom.
Space group P4/mmm (No. 123)
Asymmetric unit:
Ba: 0.0000 0.0000 0.0000 [1 per cell]  8 Zr 3.24, 2 Ba 3.45
Li: 0.5000 0.5000 0.0000 [1 per cell]  8 Zr 3.24, 2 Li 3.45
Zr: 0.0000 0.5000 0.5000 [2 per cell]  4 Ba 3.24, 4 Li 3.24, 2 Zr 3.45

E_form   868 meV/atom

---

Record 3
Density functional theory data (PBE) for Ba2LiZr after structural relaxation.

Cell: 8.7736 8.8083 3.7868 Å, 90.00 90.00 90.00°
With the nearest neighbours (Å) after each atom.
Space group Cmmm (No. 65)
Asymmetric unit:
Ba: 0.2500 0.2500 0.0000 [4 per cell]  4 Zr 3.64, 4 Li 3.64, 2 Ba 3.79
Li: 0.0000 0.0000 0.5000 [2 per cell]  8 Ba 3.64, 2 Li 3.79
Zr: 0.0000 0.5000 0.5000 [2 per cell]  8 Ba 3.64, 2 Zr 3.79

E_form   493 meV/atom

---

Record 4
Density functional theory data (PBE) for BaLi2Zr after structural relaxation.

Cell: 8.4005 8.4005 6.4573 Å, 90.00 90.00 90.00°
With the nearest neighbours (Å) after each atom.
Space group I-42d (No. 122)
Asymmetric unit:
Ba: 0.0000 0.0000 0.0000 [4 per cell]  4 Li 3.22, 2 Zr 3.23
Li: 0.2260 0.7500 0.6250 [8 per cell]  2 Zr 2.94, 2 Ba 3.22, 2 Li 3.25
Zr: 0.0000 0.0000 0.5000 [4 per cell]  4 Li 2.94, 2 Ba 3.23

E_form   693 meV/atom

---

Record 5
Density functional theory data (PBE) for Ba2LiZr after structural relaxation.

Cell: 3.6189 5.3055 7.4463 Å, 90.00 90.00 90.00°
With the nearest neighbours (Å) after each atom.
Space group Pmm2 (No. 25)
Asymmetric unit:
Ba: 0.0000 0.0000 0.0000 [1 per cell]  1 Li 3.05
Ba: 0.5000 0.5000 0.3527 [1 per cell]  1 Zr 3.34, 2 Ba 3.62, 4 Li 3.67
Li: 0.0000 0.0000 0.5900 [1 per cell]  1 Ba 3.05
Zr: 0.5000 0.5000 0.8008 [1 per cell]  5 Ba 3.34-3.54, 4 Li 3.57, 2 Zr 3.62

E_form   549 meV/atom

---

Record 6
Density functional theory data (PBE) for BaLiZr2 after structural relaxation.

Cell: 3.2806 3.2806 33.7585 Å, 90.00 90.00 120.00°
With the nearest neighbours (Å) after each atom.
Space group R-3m (No. 166, hexagonal axes)
Asymmetric unit:
Ba: 0.0000 0.0000 0.0000 [3 per cell]  6 Ba 3.28
Li: 0.0000 0.0000 0.5000 [3 per cell]  6 Zr 3.09, 6 Li 3.28
Zr: 0.0000 0.0000 0.2388 [6 per cell]  3 Li 3.09, 6 Zr 3.28

E_form   599 meV/atom

---

Number 1: total magnetic moment 0.00 μB/cell. Number 2: total magnetic moment 0.01 μB/cell. Number 3: total magnetic moment 0.37 μB/cell. Number 4: total magnetic moment 4.42 μB/cell. Number 5: total magnetic moment 0.00 μB/cell. Number 6: total magnetic moment 0.00 μB/cell.